# MgInAg2, optimized geometry, DFT PBEsol
# - formation energy (eV per formula unit) = -0.405
# - energy above the lowest structure with this stoichiometry (meV/atom) = 83
data_MgInAg2
_symmetry_space_group_name_H-M 'F -4 3 m'
_symmetry_Int_Tables_number 216
_symmetry_space_group_name_Hall 'F -4 2 3'
_cell_length_a 6.6703
_cell_length_b 6.6703
_cell_length_c 6.6703
_cell_angle_alpha 90.00
_cell_angle_beta 90.00
_cell_angle_gamma 90.00
loop_
_atom_site_label
_atom_site_type_symbol
_atom_site_fract_x
_atom_site_fract_y
_atom_site_fract_z
Mg1 Mg 0.0000 0.0000 0.0000
In1 In 0.2500 0.2500 0.2500
Ag1 Ag 0.0000 0.0000 0.5000
Ag2 Ag 0.2500 0.2500 0.7500


# MgInAg, optimized geometry, DFT PBEsol
# - formation energy (eV per formula unit) = -0.392
data_MgInAg
_symmetry_space_group_name_H-M 'I m m 2'
_symmetry_Int_Tables_number 44
_symmetry_space_group_name_Hall 'I 2 -2'
_cell_length_a 3.3734
_cell_length_b 3.9776
_cell_length_c 8.8072
_cell_angle_alpha 90.00
_cell_angle_beta 90.00
_cell_angle_gamma 90.00
loop_
_atom_site_label
_atom_site_type_symbol
_atom_site_fract_x
_atom_site_fract_y
_atom_site_fract_z
Mg1 Mg 0.0000 0.0000 0.0000
In1 In 0.0000 0.0000 0.3267
Ag1 Ag 0.0000 0.0000 0.6608


# MgInAg, optimized geometry, DFT PBEsol
# - formation energy (eV per formula unit) = -0.333
data_MgInAg
_symmetry_space_group_name_H-M 'F -4 3 m'
_symmetry_Int_Tables_number 216
_symmetry_space_group_name_Hall 'F -4 2 3'
_cell_length_a 6.4521
_cell_length_b 6.4521
_cell_length_c 6.4521
_cell_angle_alpha 90.00
_cell_angle_beta 90.00
_cell_angle_gamma 90.00
loop_
_atom_site_label
_atom_site_type_symbol
_atom_site_fract_x
_atom_site_fract_y
_atom_site_fract_z
Mg1 Mg 0.0000 0.0000 0.0000
In1 In 0.0000 0.0000 0.5000
Ag1 Ag 0.2500 0.2500 0.7500


# MgInAg2, optimized geometry, DFT PBEsol
# - formation energy (eV per formula unit) = -0.735
# - energy above the lowest structure with this stoichiometry (meV/atom) = 0
data_MgInAg2
_symmetry_space_group_name_H-M 'I 4/m m m'
_symmetry_Int_Tables_number 139
_symmetry_space_group_name_Hall '-I 4 2'
_cell_length_a 4.6853
_cell_length_b 4.6853
_cell_length_c 6.6708
_cell_angle_alpha 90.00
_cell_angle_beta 90.00
_cell_angle_gamma 90.00
loop_
_atom_site_label
_atom_site_type_symbol
_atom_site_fract_x
_atom_site_fract_y
_atom_site_fract_z
Mg1 Mg 0.0000 0.0000 0.0000
In1 In 0.0000 0.0000 0.5000
Ag1 Ag 0.0000 0.5000 0.2500


# MgInAg2, optimized geometry, DFT PBEsol
# - formation energy (eV per formula unit) = -0.419
# - energy above the lowest structure with this stoichiometry (meV/atom) = 79
data_MgInAg2
_symmetry_space_group_name_H-M 'C 1 2/m 1'
_symmetry_Int_Tables_number 12
_symmetry_space_group_name_Hall '-C 2y'
_cell_length_a 9.4771
_cell_length_b 3.1863
_cell_length_c 5.0601
_cell_angle_alpha 90.00
_cell_angle_beta 102.04
_cell_angle_gamma 90.00
loop_
_atom_site_label
_atom_site_type_symbol
_atom_site_fract_x
_atom_site_fract_y
_atom_site_fract_z
Mg1 Mg 0.0000 0.0000 0.0000
In1 In 0.0000 0.5000 0.5000
Ag1 Ag 0.2473 0.5000 0.2439


# MgInAg2, optimized geometry, DFT PBEsol
# - formation energy (eV per formula unit) = -0.515
# - energy above the lowest structure with this stoichiometry (meV/atom) = 55
data_MgInAg2
_symmetry_space_group_name_H-M 'P m m 2'
_symmetry_Int_Tables_number 25
_symmetry_space_group_name_Hall 'P 2 -2'
_cell_length_a 3.3750
_cell_length_b 3.7412
_cell_length_c 5.9290
_cell_angle_alpha 90.00
_cell_angle_beta 90.00
_cell_angle_gamma 90.00
loop_
_atom_site_label
_atom_site_type_symbol
_atom_site_fract_x
_atom_site_fract_y
_atom_site_fract_z
Mg1 Mg 0.0000 0.0000 0.0000
In1 In 0.5000 0.5000 0.7115
Ag1 Ag 0.0000 0.0000 0.4716
Ag2 Ag 0.5000 0.5000 0.2218


# MgInAg2, optimized geometry, DFT PBEsol
# - formation energy (eV per formula unit) = -0.607
# - energy above the lowest structure with this stoichiometry (meV/atom) = 32
data_MgInAg2
_symmetry_space_group_name_H-M 'P 4/m m m'
_symmetry_Int_Tables_number 123
_symmetry_space_group_name_Hall '-P 4 2'
_cell_length_a 3.4518
_cell_length_b 3.4518
_cell_length_c 6.2552
_cell_angle_alpha 90.00
_cell_angle_beta 90.00
_cell_angle_gamma 90.00
loop_
_atom_site_label
_atom_site_type_symbol
_atom_site_fract_x
_atom_site_fract_y
_atom_site_fract_z
Mg1 Mg 0.0000 0.0000 0.0000
In1 In 0.0000 0.0000 0.5000
Ag1 Ag 0.5000 0.5000 0.2361


# MgInAg2, optimized geometry, DFT PBEsol
# - formation energy (eV per formula unit) = -0.521
# - energy above the lowest structure with this stoichiometry (meV/atom) = 54
data_MgInAg2
_symmetry_space_group_name_H-M 'P 1 m 1'
_symmetry_Int_Tables_number 6
_symmetry_space_group_name_Hall 'P -2y'
_cell_length_a 3.1017
_cell_length_b 4.5258
_cell_length_c 5.6268
_cell_angle_alpha 90.00
_cell_angle_beta 105.69
_cell_angle_gamma 90.00
loop_
_atom_site_label
_atom_site_type_symbol
_atom_site_fract_x
_atom_site_fract_y
_atom_site_fract_z
Mg1 Mg 0.0000 0.0000 0.0000
In1 In 0.3265 0.5000 0.6525
Ag1 Ag 0.5809 0.5000 0.1692
Ag2 Ag 0.7339 0.0000 0.4658


# MgInAg2, optimized geometry, DFT PBEsol
# - formation energy (eV per formula unit) = -0.515
# - energy above the lowest structure with this stoichiometry (meV/atom) = 55
data_MgInAg2
_symmetry_space_group_name_H-M 'P 4 m m'
_symmetry_Int_Tables_number 99
_symmetry_space_group_name_Hall 'P 4 -2'
_cell_length_a 3.5002
_cell_length_b 3.5002
_cell_length_c 6.1093
_cell_angle_alpha 90.00
_cell_angle_beta 90.00
_cell_angle_gamma 90.00
loop_
_atom_site_label
_atom_site_type_symbol
_atom_site_fract_x
_atom_site_fract_y
_atom_site_fract_z
Mg1 Mg 0.0000 0.0000 0.0000
In1 In 0.5000 0.5000 0.7067
Ag1 Ag 0.0000 0.0000 0.4643
Ag2 Ag 0.5000 0.5000 0.2199


# MgInAg, optimized geometry, DFT PBEsol
# - formation energy (eV per formula unit) = -0.345
data_MgInAg
_symmetry_space_group_name_H-M 'I 4 m m'
_symmetry_Int_Tables_number 107
_symmetry_space_group_name_Hall 'I 4 -2'
_cell_length_a 3.1499
_cell_length_b 3.1499
_cell_length_c 12.1004
_cell_angle_alpha 90.00
_cell_angle_beta 90.00
_cell_angle_gamma 90.00
loop_
_atom_site_label
_atom_site_type_symbol
_atom_site_fract_x
_atom_site_fract_y
_atom_site_fract_z
Mg1 Mg 0.0000 0.0000 0.0000
In1 In 0.0000 0.0000 0.3112
Ag1 Ag 0.0000 0.0000 0.6464


# MgInAg2, optimized geometry, DFT PBEsol
# - formation energy (eV per formula unit) = -0.581
# - energy above the lowest structure with this stoichiometry (meV/atom) = 39
data_MgInAg2
_symmetry_space_group_name_H-M 'I -4 m 2'
_symmetry_Int_Tables_number 119
_symmetry_space_group_name_Hall 'I -4 -2'
_cell_length_a 4.1571
_cell_length_b 4.1571
_cell_length_c 8.5398
_cell_angle_alpha 90.00
_cell_angle_beta 90.00
_cell_angle_gamma 90.00
loop_
_atom_site_label
_atom_site_type_symbol
_atom_site_fract_x
_atom_site_fract_y
_atom_site_fract_z
Mg1 Mg 0.0000 0.0000 0.0000
In1 In 0.0000 0.5000 0.7500
Ag1 Ag 0.0000 0.0000 0.5000
Ag2 Ag 0.0000 0.5000 0.2500


# Mg2InAg2, optimized geometry, DFT PBEsol
# - formation energy (eV per formula unit) = -0.867
data_Mg2InAg2
_symmetry_space_group_name_H-M 'P 4/m b m'
_symmetry_Int_Tables_number 127
_symmetry_space_group_name_Hall '-P 4 2ab'
_cell_length_a 7.4976
_cell_length_b 7.4976
_cell_length_c 3.4612
_cell_angle_alpha 90.00
_cell_angle_beta 90.00
_cell_angle_gamma 90.00
loop_
_atom_site_label
_atom_site_type_symbol
_atom_site_fract_x
_atom_site_fract_y
_atom_site_fract_z
Mg1 Mg 0.1609 0.3391 0.0000
In1 In 0.0000 0.0000 0.5000
Ag1 Ag 0.1348 0.6348 0.5000


# MgInAg2, optimized geometry, DFT PBEsol
# - formation energy (eV per formula unit) = -0.570
# - energy above the lowest structure with this stoichiometry (meV/atom) = 41
data_MgInAg2
_symmetry_space_group_name_H-M 'I m m 2'
_symmetry_Int_Tables_number 44
_symmetry_space_group_name_Hall 'I 2 -2'
_cell_length_a 3.7908
_cell_length_b 4.4116
_cell_length_c 8.8564
_cell_angle_alpha 90.00
_cell_angle_beta 90.00
_cell_angle_gamma 90.00
loop_
_atom_site_label
_atom_site_type_symbol
_atom_site_fract_x
_atom_site_fract_y
_atom_site_fract_z
Mg1 Mg 0.0000 0.0000 0.0000
In1 In 0.0000 0.5000 0.2383
Ag1 Ag 0.0000 0.0000 0.4923
Ag2 Ag 0.0000 0.5000 0.7505


# MnInAg2, optimized geometry, DFT PBEsol
# - formation energy (eV per formula unit) = 0.572
data_MnInAg2
_symmetry_space_group_name_H-M 'I 4/m m m'
_symmetry_Int_Tables_number 139
_symmetry_space_group_name_Hall '-I 4 2'
_cell_length_a 4.2979
_cell_length_b 4.2979
_cell_length_c 7.3716
_cell_angle_alpha 90.00
_cell_angle_beta 90.00
_cell_angle_gamma 90.00
loop_
_atom_site_label
_atom_site_type_symbol
_atom_site_fract_x
_atom_site_fract_y
_atom_site_fract_z
Mn1 Mn 0.0000 0.0000 0.0000
In1 In 0.0000 0.0000 0.5000
Ag1 Ag 0.0000 0.5000 0.2500


# MnInAg2, optimized geometry, DFT PBEsol
# - formation energy (eV per formula unit) = 1.063
data_MnInAg2
_symmetry_space_group_name_H-M 'R 3 m'
_symmetry_Int_Tables_number 160
_symmetry_space_group_name_Hall 'R 3 -2"'
_cell_length_a 2.9802
_cell_length_b 2.9802
_cell_length_c 27.1455
_cell_angle_alpha 90.00
_cell_angle_beta 90.00
_cell_angle_gamma 120.00
loop_
_atom_site_label
_atom_site_type_symbol
_atom_site_fract_x
_atom_site_fract_y
_atom_site_fract_z
Mn1 Mn 0.0000 0.0000 0.0000
In1 In 0.0000 0.0000 0.7500
Ag1 Ag 0.0000 0.0000 0.2553
Ag2 Ag 0.0000 0.0000 0.5047


# InAgMo2, optimized geometry, DFT PBEsol
# - formation energy (eV per formula unit) = 1.626
data_InAgMo2
_symmetry_space_group_name_H-M 'R 3 m'
_symmetry_Int_Tables_number 160
_symmetry_space_group_name_Hall 'R 3 -2"'
_cell_length_a 2.8562
_cell_length_b 2.8562
_cell_length_c 28.7810
_cell_angle_alpha 90.00
_cell_angle_beta 90.00
_cell_angle_gamma 120.00
loop_
_atom_site_label
_atom_site_type_symbol
_atom_site_fract_x
_atom_site_fract_y
_atom_site_fract_z
In1 In 0.0000 0.0000 0.0000
Ag1 Ag 0.0000 0.0000 0.2462
Mo1 Mo 0.0000 0.0000 0.4964
Mo2 Mo 0.0000 0.0000 0.7512


# InAgMo2, optimized geometry, DFT PBEsol
# - formation energy (eV per formula unit) = 1.479
data_InAgMo2
_symmetry_space_group_name_H-M 'I 4/m m m'
_symmetry_Int_Tables_number 139
_symmetry_space_group_name_Hall '-I 4 2'
_cell_length_a 3.8307
_cell_length_b 3.8307
_cell_length_c 9.0269
_cell_angle_alpha 90.00
_cell_angle_beta 90.00
_cell_angle_gamma 90.00
loop_
_atom_site_label
_atom_site_type_symbol
_atom_site_fract_x
_atom_site_fract_y
_atom_site_fract_z
In1 In 0.0000 0.0000 0.0000
Ag1 Ag 0.0000 0.0000 0.5000
Mo1 Mo 0.0000 0.5000 0.2500


# InAgMo2, optimized geometry, DFT PBEsol
# - formation energy (eV per formula unit) = 1.676
data_InAgMo2
_symmetry_space_group_name_H-M 'P m m m'
_symmetry_Int_Tables_number 47
_symmetry_space_group_name_Hall '-P 2 2'
_cell_length_a 2.7568
_cell_length_b 4.4556
_cell_length_c 5.3997
_cell_angle_alpha 90.00
_cell_angle_beta 90.00
_cell_angle_gamma 90.00
loop_
_atom_site_label
_atom_site_type_symbol
_atom_site_fract_x
_atom_site_fract_y
_atom_site_fract_z
In1 In 0.0000 0.0000 0.0000
Ag1 Ag 0.0000 0.0000 0.5000
Mo1 Mo 0.5000 0.5000 0.2522


# InAgPtN2, optimized geometry, DFT PBEsol
# - energy relative to the elements, uncorrected (eV/atom) = 1.788
data_InAgPtN2
_symmetry_space_group_name_H-M 'P 4/m m m'
_symmetry_Int_Tables_number 123
_symmetry_space_group_name_Hall '-P 4 2'
_cell_length_a 4.1057
_cell_length_b 4.1057
_cell_length_c 5.1796
_cell_angle_alpha 90.00
_cell_angle_beta 90.00
_cell_angle_gamma 90.00
loop_
_atom_site_label
_atom_site_type_symbol
_atom_site_fract_x
_atom_site_fract_y
_atom_site_fract_z
In1 In 0.0000 0.0000 0.0000
Ag1 Ag 0.5000 0.5000 0.5000
Pt1 Pt 0.0000 0.0000 0.5000
N1 N 0.0000 0.5000 0.0000


# Na2InAg2, optimized geometry, DFT PBEsol
# - formation energy (eV per formula unit) = 0.018
data_Na2InAg2
_symmetry_space_group_name_H-M 'P 4/m b m'
_symmetry_Int_Tables_number 127
_symmetry_space_group_name_Hall '-P 4 2ab'
_cell_length_a 7.1451
_cell_length_b 7.1451
_cell_length_c 4.5449
_cell_angle_alpha 90.00
_cell_angle_beta 90.00
_cell_angle_gamma 90.00
loop_
_atom_site_label
_atom_site_type_symbol
_atom_site_fract_x
_atom_site_fract_y
_atom_site_fract_z
Na1 Na 0.1686 0.3314 0.0000
In1 In 0.0000 0.0000 0.5000
Ag1 Ag 0.1351 0.6351 0.5000


| no. | volume (Å³ per cell) |
| --- | --- |
| 1 | 296.8 |
| 2 | 118.2 |
| 3 | 268.6 |
| 4 | 146.4 |
| 5 | 149.4 |
| 6 | 74.9 |
| 7 | 74.5 |
| 8 | 76.0 |
| 9 | 74.8 |
| 10 | 120.1 |
| 11 | 147.6 |
| 12 | 194.6 |
| 13 | 148.1 |
| 14 | 136.2 |
| 15 | 208.8 |
| 16 | 203.3 |
| 17 | 132.5 |
| 18 | 66.3 |
| 19 | 87.3 |
| 20 | 232.0 |